Dy5Se2S5, optimized geometry, DFT PBE-GGA; Fermi-level density of states = 1.524 states/eV/cell; formation energy without anion corrections = -24.0 eV per formula unit
1.0
6.496 -1.914 0.000
6.496 1.914 0.000
-2.772 0.000 11.523
Dy Se S
5 2 5
Direct
0.000 0.000 0.000 Dy
0.115 0.115 0.429 Dy
0.290 0.290 0.184 Dy
0.710 0.710 0.816 Dy
0.885 0.885 0.571 Dy
0.042 0.042 0.781 Se
0.958 0.958 0.219 Se
0.262 0.262 0.647 S
0.343 0.343 0.950 S
0.500 0.500 0.500 S
0.657 0.657 0.050 S
0.738 0.738 0.353 S

***

Tb2Pd3Pb, optimized geometry, DFT PBE-GGA; ΔE_f = -685.9 meV per atom; Fermi-level density of states = 4.633 states/eV/cell
1.0
5.726 -2.850 0.000
5.726 2.850 0.000
-3.389 0.000 8.099
Tb Pd Pb
4 6 2
Direct
0.187 0.196 0.095 Tb
0.196 0.187 0.595 Tb
0.804 0.813 0.405 Tb
0.813 0.804 0.905 Tb
0.217 0.783 0.250 Pd
0.368 0.373 0.435 Pd
0.373 0.368 0.935 Pd
0.627 0.632 0.065 Pd
0.632 0.627 0.565 Pd
0.783 0.217 0.750 Pd
0.276 0.724 0.750 Pb
0.724 0.276 0.250 Pb

***

no.,M_tot (μB/atom)
1,0.000
2,0.000